Entry 1:
# PBE-GGA V2SbOs, relaxed
# - E_tot (eV/atom) = -7.94
# - formation energy (no corrections) (meV/atom) = 459
# - magnetic moment (μB/f.u.) = 0.00
data_V2SbOs
_symmetry_space_group_name_H-M 'I -4 2 d'
_symmetry_Int_Tables_number 122
_symmetry_space_group_name_Hall 'I -4 2bw'
_cell_length_a 7.135
_cell_length_b 7.135
_cell_length_c 5.495
_cell_angle_alpha 90.00
_cell_angle_beta 90.00
_cell_angle_gamma 90.00
loop_
_atom_site_label
_atom_site_fract_x
_atom_site_fract_y
_atom_site_fract_z
V1 0.208 0.250 0.125
Sb1 0.000 0.000 0.500
Os1 0.000 0.000 0.000

***

Entry 2:
# PBE-GGA Y2HfInH, relaxed
# - E_tot (eV/atom) = -6.05
# - magnetic moment (μB/f.u.) = 0.00
data_Y2HfInH
_symmetry_space_group_name_H-M 'P 4/m m m'
_symmetry_Int_Tables_number 123
_symmetry_space_group_name_Hall '-P 4 2'
_cell_length_a 4.753
_cell_length_b 4.753
_cell_length_c 4.609
_cell_angle_alpha 90.00
_cell_angle_beta 90.00
_cell_angle_gamma 90.00
loop_
_atom_site_label
_atom_site_fract_x
_atom_site_fract_y
_atom_site_fract_z
Y1 0.000 0.500 0.000
Hf1 0.000 0.000 0.500
In1 0.500 0.500 0.500
H1 0.000 0.000 0.000

***

Entry 3:
# PBE-GGA PuTaOsPd, relaxed
# - E_tot (eV/atom) = -10.68
# - energy relative to the elements (eV per atom) = -0.028
# - magnetic moment (μB/f.u.) = 5.27
data_PuTaOsPd
_symmetry_space_group_name_H-M 'F -4 3 m'
_symmetry_Int_Tables_number 216
_symmetry_space_group_name_Hall 'F -4 2 3'
_cell_length_a 6.642
_cell_length_b 6.642
_cell_length_c 6.642
_cell_angle_alpha 90.00
_cell_angle_beta 90.00
_cell_angle_gamma 90.00
loop_
_atom_site_label
_atom_site_fract_x
_atom_site_fract_y
_atom_site_fract_z
Pu1 0.000 0.000 0.000
Ta1 0.000 0.000 0.500
Os1 0.250 0.250 0.750
Pd1 0.250 0.250 0.250